Record 1
# AlCr2Si

An optimized crystal structure of AlCr2Si (GGA-PBEsol, Alexandria).

Summary:
Formation energy from raw total energies (eV/atom): -0.08
Total magnetic moment (Bohr magnetons per cell): 0.0
DFT total energy (eV/atom): -7.66
Space group: F-43m
Calculated volume (Å³ per cell): 47.0

Lattice parameters (Å, degrees): 4.0503 4.0503 4.0503 60.00 60.00 60.00
Last column: nearest neighbours and their distance in Å.
Element x y z (fractional)
Al  0.0000  0.0000  0.0000  4 Cr 2.48, 4 Si 2.48
Cr  0.5000  0.5000  0.5000  4 Cr 2.48, 4 Si 2.48
Cr  0.7500  0.7500  0.7500  4 Cr 2.48, 4 Al 2.48
Si  0.2500  0.2500  0.2500  4 Cr 2.48, 4 Al 2.48

***

Record 2
# AlCrSi2

An optimized crystal structure of AlCrSi2 (GGA-PBEsol, Alexandria).

Summary:
Formation energy from raw total energies (eV/atom): 0.40
Total magnetic moment (Bohr magnetons per cell): 3.5
DFT total energy (eV/atom): -6.06
Space group: I-42d
Calculated volume (Å³ per cell): 120.0

Lattice parameters (Å, degrees): 5.4984 5.4984 5.4984 101.97 101.97 125.82
Last column: nearest neighbours and their distance in Å.
Element x y z (fractional)
Al  0.0000  0.0000  0.0000  2 Cr 2.50, 4 Si 2.64
Al  0.7500  0.2500  0.5000  2 Cr 2.50, 4 Si 2.64
Cr  0.2500  0.7500  0.5000  4 Si 2.42, 2 Al 2.50
Cr  0.5000  0.5000  0.0000  4 Si 2.42, 2 Al 2.50
Si  0.1484  0.1250  0.5234  2 Cr 2.42, 2 Si 2.52, 2 Al 2.64
Si  0.3750  0.8516  0.9766  2 Cr 2.42, 2 Si 2.52, 2 Al 2.64
Si  0.6016  0.6250  0.4766  2 Cr 2.42, 2 Si 2.52, 2 Al 2.64
Si  0.8750  0.3984  0.0234  2 Cr 2.42, 2 Si 2.52, 2 Al 2.64

***

Record 3
# SrAlCr3

An optimized crystal structure of SrAlCr3 (GGA-PBEsol, Alexandria).

Summary:
Total magnetic moment (Bohr magnetons per cell): 11.2
DFT total energy (eV/atom): -4.84
Calculated formation energy (eV/atom): 2.4916
Space group: Pm-3m
Calculated volume (Å³ per cell): 114.1

Lattice parameters (Å, degrees): 4.8499 4.8499 4.8499 90.00 90.00 90.00
Last column: nearest neighbours and their distance in Å.
Element x y z (fractional)
Sr  0.0000  0.0000  0.0000  6 Cr 2.42
Al  0.5000  0.5000  0.5000  12 Cr 3.43
Cr  0.0000  0.0000  0.5000  2 Sr 2.42
Cr  0.0000  0.5000  0.0000  2 Sr 2.42
Cr  0.5000  0.0000  0.0000  2 Sr 2.42